## 1
## TlAg2Ge2 (GGA-PBE)

Data for a relaxed TlAg2Ge2 crystal.

a b c (Å): 8.382 8.382 3.016
angles (deg): 90.00 90.00 90.00
Element x y z (fractional)
Tl: 0.000 0.000 0.000
Tl: 0.500 0.500 0.000
Ag: 0.158 0.342 0.000
Ag: 0.342 0.842 0.000
Ag: 0.658 0.158 0.000
Ag: 0.842 0.658 0.000
Ge: 0.135 0.635 0.500
Ge: 0.365 0.135 0.500
Ge: 0.635 0.865 0.500
Ge: 0.865 0.365 0.500

Output
The space-group type is P4/mbm (127). As for the total moment: 0.00 μB per cell. The crystal system is tetragonal.

---

## 2
## TlAg2Ge2 (GGA-PBE)

Data for a relaxed TlAg2Ge2 crystal.

a b c (Å): 6.407 6.407 6.407
angles (deg): 139.22 139.22 59.03
Element x y z (fractional)
Tl: 0.000 0.000 0.000
Ag: 0.250 0.750 0.500
Ag: 0.750 0.250 0.500
Ge: 0.384 0.384 0.000
Ge: 0.616 0.616 0.000

Output
The space-group type is I4/mmm (139). As for the total moment: 0.00 μB per cell. The crystal system is tetragonal.

---

Most favorable structure: 2. The second most favorable one is 1.5 kJ/mol of atoms above it.

---

## 1
## TlAg2Ge2 (GGA-PBE)

Data for a relaxed TlAg2Ge2 crystal.

a b c (Å): 7.247 7.247 7.247
angles (deg): 147.68 147.68 46.36
Element x y z (fractional)
Tl: 0.000 0.000 0.000
Ag: 0.395 0.395 0.000
Ag: 0.605 0.605 0.000
Ge: 0.250 0.750 0.500
Ge: 0.750 0.250 0.500

Output
The space-group type is I4/mmm (139). As for the total moment: 0.00 μB per cell. The crystal system is tetragonal.

---

## 2
## TlAg2Ge2 (GGA-PBE)

Data for a relaxed TlAg2Ge2 crystal.

a b c (Å): 8.501 8.501 2.926
angles (deg): 90.00 90.00 90.00
Element x y z (fractional)
Tl: 0.000 0.000 0.000
Tl: 0.500 0.500 0.000
Ag: 0.167 0.333 0.500
Ag: 0.333 0.833 0.500
Ag: 0.667 0.167 0.500
Ag: 0.833 0.667 0.500
Ge: 0.126 0.626 0.000
Ge: 0.374 0.126 0.000
Ge: 0.626 0.874 0.000
Ge: 0.874 0.374 0.000

Output
The space-group type is P4/mbm (127). As for the total moment: 0.00 μB per cell. The crystal system is tetragonal.

---

Most favorable structure: 1. The second most favorable one is 0.7 kJ/mol of atoms above it.

---

## 1
## Tl2AgGe (GGA-PBE)

Data for a relaxed Tl2AgGe crystal.

a b c (Å): 5.162 5.162 5.162
angles (deg): 60.00 60.00 60.00
Element x y z (fractional)
Tl: 0.250 0.250 0.250
Tl: 0.750 0.750 0.750
Ag: 0.000 0.000 0.000
Ge: 0.500 0.500 0.500

Output
The space-group type is Fm-3m (225). As for the total moment: 0.00 μB per cell. The crystal system is cubic.

---

## 2
## Tl2AgGe (GGA-PBE)

Data for a relaxed Tl2AgGe crystal.

a b c (Å): 11.020 11.020 11.020
angles (deg): 157.00 157.00 32.76
Element x y z (fractional)
Tl: 0.123 0.625 0.998
Tl: 0.375 0.373 0.498
Tl: 0.627 0.125 0.002
Tl: 0.875 0.877 0.502
Ag: 0.000 0.000 0.000
Ag: 0.750 0.250 0.500
Ge: 0.250 0.750 0.500
Ge: 0.500 0.500 0.000

Output
The space-group type is I-42d (122). As for the total moment: 0.00 μB per cell. The crystal system is tetragonal.

---

Most favorable structure: 1. The second most favorable one is 6.8 kJ/mol of atoms above it.

---

## 1
## TlAgGe2 (GGA-PBE)

Data for a relaxed TlAgGe2 crystal.

a b c (Å): 4.976 4.976 4.976
angles (deg): 60.00 60.00 60.00
Element x y z (fractional)
Tl: 0.000 0.000 0.000
Ag: 0.500 0.500 0.500
Ge: 0.250 0.250 0.250
Ge: 0.750 0.750 0.750

Output
The space-group type is Fm-3m (225). As for the total moment: 0.00 μB per cell. The crystal system is cubic.

---

## 2
## TlAgGe2 (GGA-PBE)

Data for a relaxed TlAgGe2 crystal.

a b c (Å): 10.741 10.741 10.741
angles (deg): 157.42 157.42 32.14
Element x y z (fractional)
Tl: 0.000 0.000 0.000
Tl: 0.750 0.250 0.500
Ag: 0.250 0.750 0.500
Ag: 0.500 0.500 0.000
Ge: 0.182 0.625 0.057
Ge: 0.375 0.432 0.557
Ge: 0.568 0.125 0.943
Ge: 0.875 0.818 0.443

Output
The space-group type is I-42d (122). As for the total moment: 0.00 μB per cell. The crystal system is tetragonal.

---

Most favorable structure: 2. The second most favorable one is 6.4 kJ/mol of atoms above it.

---

## 1
## VAgGe2 (GGA-PBE)

Data for a relaxed VAgGe2 crystal.

a b c (Å): 5.786 5.786 5.786
angles (deg): 104.31 104.31 120.38
Element x y z (fractional)
V: 0.000 0.000 0.000
V: 0.750 0.250 0.500
Ag: 0.250 0.750 0.500
Ag: 0.500 0.500 0.000
Ge: 0.119 0.625 0.994
Ge: 0.375 0.369 0.494
Ge: 0.631 0.125 0.006
Ge: 0.875 0.881 0.506

Output
The space-group type is I-42d (122). As for the total moment: 3.87 μB per cell. The crystal system is tetragonal.

---

## 2
## VAgGe2 (GGA-PBE)

Data for a relaxed VAgGe2 crystal.

a b c (Å): 4.597 4.597 4.597
angles (deg): 60.00 60.00 60.00
Element x y z (fractional)
V: 0.000 0.000 0.000
Ag: 0.500 0.500 0.500
Ge: 0.250 0.250 0.250
Ge: 0.750 0.750 0.750

Output
The space-group type is Fm-3m (225). As for the total moment: 2.74 μB per cell. The crystal system is cubic.

---

Most favorable structure: 2. The second most favorable one is 13.6 kJ/mol of atoms above it.

---

## 1
## VAgGe2 (GGA-PBE)

Data for a relaxed VAgGe2 crystal.

a b c (Å): 3.265 3.265 6.159
angles (deg): 90.00 90.00 90.00
Element x y z (fractional)
V: 0.000 0.000 0.000
Ag: 0.000 0.000 0.500
Ge: 0.500 0.500 0.214
Ge: 0.500 0.500 0.786

Output
The space-group type is P4/mmm (123). As for the total moment: 0.00 μB per cell. The crystal system is tetragonal.

---

## 2
## VAgGe2 (GGA-PBE)

Data for a relaxed VAgGe2 crystal.

a b c (Å): 9.370 9.370 9.370
angles (deg): 17.97 17.97 17.97
Element x y z (fractional)
V: 0.000 0.000 0.000
Ag: 0.500 0.500 0.500
Ge: 0.407 0.407 0.407
Ge: 0.593 0.593 0.593

Output
The space-group type is R-3m (166). As for the total moment: 0.00 μB per cell. The crystal system is trigonal.

---

Most favorable structure: 2. The second most favorable one is 7.5 kJ/mol of atoms above it.